## CaMgCoHNF (PBE+U)

Data for a relaxed CaMgCoHNF crystal.

The calculation puts the energy above the lowest structure with this stoichiometry at 0.077 eV per atom. The calculation puts the total energy at -4.73 eV/atom. The spin magnetization is 4.01 μB/cell.

The space group is Cm (No. 8) and the conventional cell measures 6.7961, 3.4569 and 6.7746 Å, with angles of 90.00, 92.11 and 90.00 degrees. The inequivalent atoms are Ca at (0.0000, 0.0000, 0.0000), Mg at (0.1477, 0.5000, 0.5245), Co at (0.3574, 0.0000, 0.3010), H at (0.3164, 0.0000, 0.0624), N at (0.4521, 0.5000, 0.4297) and F at (0.1502, 0.5000, 0.8185).